[1]
This record from Alexandria describes an optimized crystal structure of LuHfCdGa. The functional is PBE-GGA.

As for the formation energy: -0.2159 eV/atom. As for the size of the total moment: 0.00 μB per formula unit. Its density of states at the Fermi level is 0.593 states/eV per atom.

CIF file:
```
data_LuHfCdGa
_space_group_name_H-M_alt 'P 1'
_space_group_IT_number 1
_cell_length_a 6.969
_cell_length_b 6.969
_cell_length_c 6.969
_cell_angle_alpha 90.00
_cell_angle_beta 90.00
_cell_angle_gamma 90.00
loop_
_space_group_symop_operation_xyz
'x,y,z'
loop_
_atom_site_label
_atom_site_type_symbol
_atom_site_fract_x
_atom_site_fract_y
_atom_site_fract_z
Lu1 Lu 0.000 0.000 0.000
Lu2 Lu 0.000 0.500 0.500
Lu3 Lu 0.500 0.000 0.500
Lu4 Lu 0.500 0.500 0.000
Hf1 Hf 0.000 0.000 0.500
Hf2 Hf 0.000 0.500 0.000
Hf3 Hf 0.500 0.000 0.000
Hf4 Hf 0.500 0.500 0.500
Cd1 Cd 0.250 0.250 0.750
Cd2 Cd 0.250 0.750 0.250
Cd3 Cd 0.750 0.250 0.250
Cd4 Cd 0.750 0.750 0.750
Ga1 Ga 0.250 0.250 0.250
Ga2 Ga 0.250 0.750 0.750
Ga3 Ga 0.750 0.250 0.750
Ga4 Ga 0.750 0.750 0.250
```

---

[2]
This record from Alexandria describes an optimized crystal structure of Hf2MnCdGa. The functional is PBE-GGA.

As for the formation energy: 0.4833 eV/atom. As for the size of the total moment: 0.00 μB per formula unit. Its density of states at the Fermi level is 1.302 states/eV per atom.

CIF file:
```
data_Hf2MnCdGa
_space_group_name_H-M_alt 'P 1'
_space_group_IT_number 1
_cell_length_a 4.668
_cell_length_b 4.668
_cell_length_c 4.962
_cell_angle_alpha 90.00
_cell_angle_beta 90.00
_cell_angle_gamma 90.00
loop_
_space_group_symop_operation_xyz
'x,y,z'
loop_
_atom_site_label
_atom_site_type_symbol
_atom_site_fract_x
_atom_site_fract_y
_atom_site_fract_z
Hf1 Hf 0.000 0.500 0.000
Hf2 Hf 0.500 0.000 0.000
Mn1 Mn 0.000 0.000 0.000
Cd1 Cd 0.000 0.000 0.500
Ga1 Ga 0.500 0.500 0.500
```

---

[3]
This record from Alexandria describes an optimized crystal structure of HfMnCd2Ga. The functional is PBE-GGA.

As for the formation energy: 0.7913 eV/atom. As for the size of the total moment: 0.08 μB per formula unit. Its density of states at the Fermi level is 1.348 states/eV per atom.

CIF file:
```
data_HfMnCd2Ga
_space_group_name_H-M_alt 'P 1'
_space_group_IT_number 1
_cell_length_a 4.780
_cell_length_b 4.780
_cell_length_c 4.527
_cell_angle_alpha 90.00
_cell_angle_beta 90.00
_cell_angle_gamma 90.00
loop_
_space_group_symop_operation_xyz
'x,y,z'
loop_
_atom_site_label
_atom_site_type_symbol
_atom_site_fract_x
_atom_site_fract_y
_atom_site_fract_z
Hf1 Hf 0.000 0.000 0.000
Mn1 Mn 0.500 0.500 0.500
Cd1 Cd 0.000 0.500 0.500
Cd2 Cd 0.500 0.000 0.500
Ga1 Ga 0.500 0.500 0.000
```

---

[4]
This record from Alexandria describes an optimized crystal structure of HfCdGa2Ni. The functional is PBE-GGA.

As for the formation energy: 0.0072 eV/atom. As for the size of the total moment: 0.00 μB per formula unit. Its density of states at the Fermi level is 0.573 states/eV per atom.

CIF file:
```
data_HfCdGa2Ni
_space_group_name_H-M_alt 'P 1'
_space_group_IT_number 1
_cell_length_a 4.529
_cell_length_b 4.529
_cell_length_c 4.874
_cell_angle_alpha 90.00
_cell_angle_beta 90.00
_cell_angle_gamma 90.00
loop_
_space_group_symop_operation_xyz
'x,y,z'
loop_
_atom_site_label
_atom_site_type_symbol
_atom_site_fract_x
_atom_site_fract_y
_atom_site_fract_z
Hf1 Hf 0.000 0.000 0.000
Cd1 Cd 0.500 0.500 0.000
Ga1 Ga 0.000 0.500 0.500
Ga2 Ga 0.500 0.000 0.500
Ni1 Ni 0.000 0.000 0.500
```

---

[5]
This record from Alexandria describes an optimized crystal structure of HfCd2GaO6. The functional is PBE-GGA.

For the energy relative to the elements, uncorrected, the calculation gives -158.8 kJ per mole of atoms. As for the size of the total moment: 0.00 μB per formula unit. Its density of states at the Fermi level is 0.568 states/eV per atom.

CIF file:
```
data_HfCd2GaO6
_space_group_name_H-M_alt 'P 1'
_space_group_IT_number 1
_cell_length_a 5.230
_cell_length_b 5.230
_cell_length_c 5.059
_cell_angle_alpha 90.00
_cell_angle_beta 90.00
_cell_angle_gamma 90.00
loop_
_space_group_symop_operation_xyz
'x,y,z'
loop_
_atom_site_label
_atom_site_type_symbol
_atom_site_fract_x
_atom_site_fract_y
_atom_site_fract_z
Hf1 Hf 0.000 0.000 0.000
Cd1 Cd 0.000 0.500 0.445
Cd2 Cd 0.500 0.000 0.445
Ga1 Ga 0.500 0.500 0.004
O1 O 0.000 0.000 0.615
O2 O 0.256 0.256 0.144
O3 O 0.256 0.744 0.144
O4 O 0.500 0.500 0.638
O5 O 0.744 0.256 0.144
O6 O 0.744 0.744 0.144
```

---

[6]
This record from Alexandria describes an optimized crystal structure of HfCd2GaPb. The functional is PBE-GGA.

As for the formation energy: 0.7275 eV/atom. The excess energy over the best structure of this formula in the dataset comes out at 0 meV per atom. As for the size of the total moment: 0.00 μB per formula unit. Its density of states at the Fermi level is 0.923 states/eV per atom.

CIF file:
```
data_HfCd2GaPb
_space_group_name_H-M_alt 'P 1'
_space_group_IT_number 1
_cell_length_a 5.646
_cell_length_b 5.646
_cell_length_c 5.576
_cell_angle_alpha 90.00
_cell_angle_beta 90.00
_cell_angle_gamma 90.00
loop_
_space_group_symop_operation_xyz
'x,y,z'
loop_
_atom_site_label
_atom_site_type_symbol
_atom_site_fract_x
_atom_site_fract_y
_atom_site_fract_z
Hf1 Hf 0.000 0.000 0.000
Cd1 Cd 0.000 0.500 0.000
Cd2 Cd 0.500 0.000 0.000
Ga1 Ga 0.500 0.500 0.500
Pb1 Pb 0.000 0.000 0.500
```

---

[7]
This record from Alexandria describes an optimized crystal structure of HfCd2GaPb. The functional is PBE-GGA.

As for the formation energy: 0.7449 eV/atom. The excess energy over the best structure of this formula in the dataset comes out at 17 meV per atom. As for the size of the total moment: 0.00 μB per formula unit. Its density of states at the Fermi level is 0.847 states/eV per atom.

CIF file:
```
data_HfCd2GaPb
_space_group_name_H-M_alt 'P 1'
_space_group_IT_number 1
_cell_length_a 4.984
_cell_length_b 4.984
_cell_length_c 5.480
_cell_angle_alpha 90.00
_cell_angle_beta 90.00
_cell_angle_gamma 90.00
loop_
_space_group_symop_operation_xyz
'x,y,z'
loop_
_atom_site_label
_atom_site_type_symbol
_atom_site_fract_x
_atom_site_fract_y
_atom_site_fract_z
Hf1 Hf 0.000 0.000 0.000
Cd1 Cd 0.000 0.500 0.500
Cd2 Cd 0.500 0.000 0.500
Ga1 Ga 0.500 0.500 0.500
Pb1 Pb 0.500 0.500 0.000
```

---

[8]
This record from Alexandria describes an optimized crystal structure of HfCdGaPd. The functional is PBE-GGA.

As for the formation energy: -0.3715 eV/atom. As for the size of the total moment: 0.00 μB per formula unit. Its density of states at the Fermi level is 0.736 states/eV per atom.

CIF file:
```
data_HfCdGaPd
_space_group_name_H-M_alt 'P 1'
_space_group_IT_number 1
_cell_length_a 6.605
_cell_length_b 6.605
_cell_length_c 6.605
_cell_angle_alpha 90.00
_cell_angle_beta 90.00
_cell_angle_gamma 90.00
loop_
_space_group_symop_operation_xyz
'x,y,z'
loop_
_atom_site_label
_atom_site_type_symbol
_atom_site_fract_x
_atom_site_fract_y
_atom_site_fract_z
Hf1 Hf 0.000 0.000 0.000
Hf2 Hf 0.000 0.500 0.500
Hf3 Hf 0.500 0.000 0.500
Hf4 Hf 0.500 0.500 0.000
Cd1 Cd 0.000 0.000 0.500
Cd2 Cd 0.000 0.500 0.000
Cd3 Cd 0.500 0.000 0.000
Cd4 Cd 0.500 0.500 0.500
Ga1 Ga 0.250 0.250 0.750
Ga2 Ga 0.250 0.750 0.250
Ga3 Ga 0.750 0.250 0.250
Ga4 Ga 0.750 0.750 0.750
Pd1 Pd 0.250 0.250 0.250
Pd2 Pd 0.250 0.750 0.750
Pd3 Pd 0.750 0.250 0.750
Pd4 Pd 0.750 0.750 0.250
```

---

[9]
This record from Alexandria describes an optimized crystal structure of HfCdGaPt2. The functional is PBE-GGA.

As for the formation energy: 0.4935 eV/atom. As for the size of the total moment: 0.00 μB per formula unit. Its density of states at the Fermi level is 0.552 states/eV per atom.

CIF file:
```
data_HfCdGaPt2
_space_group_name_H-M_alt 'P 1'
_space_group_IT_number 1
_cell_length_a 4.976
_cell_length_b 4.976
_cell_length_c 5.191
_cell_angle_alpha 90.00
_cell_angle_beta 90.00
_cell_angle_gamma 90.00
loop_
_space_group_symop_operation_xyz
'x,y,z'
loop_
_atom_site_label
_atom_site_type_symbol
_atom_site_fract_x
_atom_site_fract_y
_atom_site_fract_z
Hf1 Hf 0.000 0.000 0.000
Cd1 Cd 0.500 0.500 0.500
Ga1 Ga 0.000 0.000 0.500
Pt1 Pt 0.000 0.500 0.000
Pt2 Pt 0.500 0.000 0.000
```

---

[10]
This record from Alexandria describes an optimized crystal structure of Hf2CdGaPt. The functional is PBE-GGA.

As for the formation energy: 0.1243 eV/atom. As for the size of the total moment: 0.00 μB per formula unit. Its density of states at the Fermi level is 0.987 states/eV per atom.

CIF file:
```
data_Hf2CdGaPt
_space_group_name_H-M_alt 'P 1'
_space_group_IT_number 1
_cell_length_a 5.106
_cell_length_b 5.106
_cell_length_c 4.710
_cell_angle_alpha 90.00
_cell_angle_beta 90.00
_cell_angle_gamma 90.00
loop_
_space_group_symop_operation_xyz
'x,y,z'
loop_
_atom_site_label
_atom_site_type_symbol
_atom_site_fract_x
_atom_site_fract_y
_atom_site_fract_z
Hf1 Hf 0.000 0.500 0.000
Hf2 Hf 0.500 0.000 0.000
Cd1 Cd 0.000 0.000 0.500
Ga1 Ga 0.500 0.500 0.500
Pt1 Pt 0.500 0.500 0.000
```

---

[11]
This record from Alexandria describes an optimized crystal structure of HfCdGa2Se. The functional is PBE-GGA.

For the energy relative to the elements, uncorrected, the calculation gives 11.8 kJ per mole of atoms. As for the size of the total moment: 0.00 μB per formula unit. Its density of states at the Fermi level is 1.057 states/eV per atom.

CIF file:
```
data_HfCdGa2Se
_space_group_name_H-M_alt 'P 1'
_space_group_IT_number 1
_cell_length_a 5.415
_cell_length_b 5.415
_cell_length_c 5.040
_cell_angle_alpha 90.00
_cell_angle_beta 90.00
_cell_angle_gamma 90.00
loop_
_space_group_symop_operation_xyz
'x,y,z'
loop_
_atom_site_label
_atom_site_type_symbol
_atom_site_fract_x
_atom_site_fract_y
_atom_site_fract_z
Hf1 Hf 0.000 0.000 0.000
Cd1 Cd 0.500 0.500 0.500
Ga1 Ga 0.000 0.500 0.000
Ga2 Ga 0.500 0.000 0.000
Se1 Se 0.000 0.000 0.500
```

---

[12]
This record from Alexandria describes an optimized crystal structure of TmHfCdGa. The functional is PBE-GGA.

As for the formation energy: -0.2245 eV/atom. As for the size of the total moment: 0.00 μB per formula unit. Its density of states at the Fermi level is 0.559 states/eV per atom.

CIF file:
```
data_TmHfCdGa
_space_group_name_H-M_alt 'P 1'
_space_group_IT_number 1
_cell_length_a 6.993
_cell_length_b 6.993
_cell_length_c 6.993
_cell_angle_alpha 90.00
_cell_angle_beta 90.00
_cell_angle_gamma 90.00
loop_
_space_group_symop_operation_xyz
'x,y,z'
loop_
_atom_site_label
_atom_site_type_symbol
_atom_site_fract_x
_atom_site_fract_y
_atom_site_fract_z
Tm1 Tm 0.000 0.000 0.000
Tm2 Tm 0.000 0.500 0.500
Tm3 Tm 0.500 0.000 0.500
Tm4 Tm 0.500 0.500 0.000
Hf1 Hf 0.000 0.000 0.500
Hf2 Hf 0.000 0.500 0.000
Hf3 Hf 0.500 0.000 0.000
Hf4 Hf 0.500 0.500 0.500
Cd1 Cd 0.250 0.250 0.250
Cd2 Cd 0.250 0.750 0.750
Cd3 Cd 0.750 0.250 0.750
Cd4 Cd 0.750 0.750 0.250
Ga1 Ga 0.250 0.250 0.750
Ga2 Ga 0.250 0.750 0.250
Ga3 Ga 0.750 0.250 0.250
Ga4 Ga 0.750 0.750 0.750
```

---

[13]
This record from Alexandria describes an optimized crystal structure of HfZrCdGa. The functional is PBE-GGA.

As for the formation energy: -0.1548 eV/atom. As for the size of the total moment: 0.00 μB per formula unit. Its density of states at the Fermi level is 0.895 states/eV per atom.

CIF file:
```
data_HfZrCdGa
_space_group_name_H-M_alt 'P 1'
_space_group_IT_number 1
_cell_length_a 6.854
_cell_length_b 6.854
_cell_length_c 6.854
_cell_angle_alpha 90.00
_cell_angle_beta 90.00
_cell_angle_gamma 90.00
loop_
_space_group_symop_operation_xyz
'x,y,z'
loop_
_atom_site_label
_atom_site_type_symbol
_atom_site_fract_x
_atom_site_fract_y
_atom_site_fract_z
Hf1 Hf 0.000 0.000 0.000
Hf2 Hf 0.000 0.500 0.500
Hf3 Hf 0.500 0.000 0.500
Hf4 Hf 0.500 0.500 0.000
Zr1 Zr 0.000 0.000 0.500
Zr2 Zr 0.000 0.500 0.000
Zr3 Zr 0.500 0.000 0.000
Zr4 Zr 0.500 0.500 0.500
Cd1 Cd 0.250 0.250 0.250
Cd2 Cd 0.250 0.750 0.750
Cd3 Cd 0.750 0.250 0.750
Cd4 Cd 0.750 0.750 0.250
Ga1 Ga 0.250 0.250 0.750
Ga2 Ga 0.250 0.750 0.250
Ga3 Ga 0.750 0.250 0.250
Ga4 Ga 0.750 0.750 0.750
```

---

[14]
This record from Alexandria describes an optimized crystal structure of Cd4GaHg8. The functional is PBE-GGA.

As for the formation energy: 0.0586 eV/atom. As for the size of the total moment: 0.00 μB per formula unit. Its density of states at the Fermi level is 0.251 states/eV per atom.

CIF file:
```
data_Cd4GaHg8
_space_group_name_H-M_alt 'P 1'
_space_group_IT_number 1
_cell_length_a 8.151
_cell_length_b 8.151
_cell_length_c 8.151
_cell_angle_alpha 55.77
_cell_angle_beta 55.77
_cell_angle_gamma 55.77
loop_
_space_group_symop_operation_xyz
'x,y,z'
loop_
_atom_site_label
_atom_site_type_symbol
_atom_site_fract_x
_atom_site_fract_y
_atom_site_fract_z
Cd1 Cd 0.000 0.000 0.000
Cd2 Cd 0.000 0.500 0.500
Cd3 Cd 0.500 0.000 0.500
Cd4 Cd 0.500 0.500 0.000
Ga1 Ga 0.500 0.500 0.500
Hg1 Hg 0.201 0.746 0.746
Hg2 Hg 0.224 0.224 0.224
Hg3 Hg 0.254 0.254 0.799
Hg4 Hg 0.254 0.799 0.254
Hg5 Hg 0.746 0.201 0.746
Hg6 Hg 0.746 0.746 0.201
Hg7 Hg 0.776 0.776 0.776
Hg8 Hg 0.799 0.254 0.254
```

---

Looking at electronic total energy for the records above, in order, we have -4.82, -6.12, -4.00, -4.53, -6.10, -2.98, -2.96, -5.14, -4.70, -5.85, -3.96, -4.82, -5.77, -0.64 eV per atom.